No. 1
Computed, not measured: a crystal of In2Bi2O7 relaxed with PBEsol at the SCAN level of DFT.

Geometry as extended XYZ:
```
44
Lattice="7.979 0.000 0.000 0.000 5.496 0.000 -2.131 0.000 13.692" Properties=species:S:1:pos:R:3 pbc="T T T"
In -0.070 0.000 1.574
In -0.093 2.843 4.325
In 1.670 0.015 9.265
In 1.810 2.664 12.034
In 4.038 5.412 1.658
In 4.178 2.763 4.427
In 5.941 0.095 9.367
In 5.918 2.748 12.118
Bi 0.157 3.117 7.530
Bi -0.164 0.009 12.637
Bi 2.077 2.554 1.963
Bi 2.248 0.143 5.120
Bi 3.600 2.891 8.572
Bi 3.771 5.302 11.729
Bi 6.012 2.757 1.055
Bi 5.691 0.369 6.162
O -1.516 0.973 11.152
O -0.590 4.418 5.860
O 0.515 1.880 0.482
O -0.216 4.528 9.044
O 0.745 1.214 3.120
O 0.702 1.837 5.982
O -0.097 3.474 11.937
O 1.970 4.571 1.209
O 2.008 3.557 3.961
O 1.514 1.989 8.690
O 2.049 4.323 7.452
O 1.575 0.697 11.332
O 3.374 1.647 0.462
O 3.297 1.124 3.291
O 2.551 3.872 10.401
O 2.474 4.395 13.230
O 4.273 3.445 2.360
O 3.799 1.575 6.240
O 4.334 4.737 5.002
O 3.840 0.809 9.731
O 3.878 1.823 12.483
O 5.945 0.726 1.755
O 5.146 4.585 7.710
O 5.103 3.962 10.572
O 6.064 1.780 4.648
O 5.333 4.628 13.210
O 6.438 1.670 7.832
O 7.364 3.721 2.540
```

Computed properties:
VASP energy ... -281.27 eV/f.u.
E_form (uncorrected) ... -1.247 eV per atom

=====

No. 2
Computed, not measured: a crystal of AsPb2W relaxed with PBEsol at the SCAN level of DFT.

Geometry as extended XYZ:
```
4
Lattice="1.572 0.908 10.144 -1.572 0.908 10.144 0.000 -1.816 10.144" Properties=species:S:1:pos:R:3 pbc="T T T"
As 0.000 0.000 0.000
Pb 0.000 0.000 7.449
Pb 0.000 0.000 22.982
W 0.000 0.000 15.216
```

Computed properties:
VASP energy ... -237.75 eV/f.u.
Energy of formation ... 88.96 kJ per mole of atoms

=====

No. 3
Computed, not measured: a crystal of ZnCoRu2 relaxed with PBEsol at the SCAN level of DFT.

Geometry as extended XYZ:
```
4
Lattice="2.606 0.000 0.000 0.000 2.606 0.000 0.000 0.000 7.345" Properties=species:S:1:pos:R:3 pbc="T T T"
Zn 0.000 0.000 0.000
Co 0.000 0.000 3.672
Ru 1.303 1.303 1.958
Ru 1.303 1.303 5.387
```

Computed properties:
VASP energy ... -99.63 eV/f.u.
Energy of formation ... 20.36 kJ per mole of atoms